The following is a DFT calculation (GGA-PBEsol) of a relaxed GaFeBi2S crystal.

Values from the calculation:
Space group = P4/mmm (123)
Formation energy from raw total energies = 391 meV per atom
Raw total energy = -23.3 eV per formula unit

a = 4.046 Å, b = 5.530 Å, c = 5.530 Å
α = 90.00°, β = 90.00°, γ = 90.00°
Last column: magnetic moment on the atom in μB.
Element x y z (fractional)
Bi  0.000  0.500  0.000  -0.03
Bi  0.000  0.000  0.500  -0.03
S  0.000  0.000  0.000  0.00
Ga  0.500  0.500  0.500  -0.01
Fe  0.500  0.000  0.000  2.19